one | 6
Lattice="3.371 0.000 0.000 0.000 3.371 0.000 0.000 0.000 10.914" Properties=species:S:1:pos:R:3 comment="YTcSb (SCAN, PBEsol geometry)" dos_at_fermi_per_ev_atom=0.705 pbc="T T T"
Y 0.000 0.000 0.000
Y 1.685 1.685 5.457
Tc 0.000 0.000 3.540
Tc 1.685 1.685 8.997
Sb 0.000 0.000 7.723
Sb 1.685 1.685 2.266

***

two | 12
Lattice="6.566 0.000 0.000 0.000 6.566 0.000 0.000 0.000 6.566" Properties=species:S:1:pos:R:3 comment="YTcSb (SCAN, PBEsol geometry)" dos_at_fermi_per_ev_atom=0.541 pbc="T T T"
Y 0.000 0.000 0.000
Y 0.000 3.283 3.283
Y 3.283 0.000 3.283
Y 3.283 3.283 0.000
Tc 0.000 0.000 3.283
Tc 0.000 3.283 0.000
Tc 3.283 0.000 0.000
Tc 3.283 3.283 3.283
Sb 1.642 1.642 1.642
Sb 1.642 4.925 4.925
Sb 4.925 1.642 4.925
Sb 4.925 4.925 1.642

***

Structures ranked by computed energy, the most stable listed first: one, two.

***

one | 4
Lattice="4.376 0.000 0.000 0.000 6.161 0.000 0.000 0.000 4.377" Properties=species:S:1:pos:R:3 comment="Sb3Te (SCAN, PBEsol geometry)" dos_at_fermi_per_ev_atom=0.579 pbc="T T T"
Sb 0.000 0.000 0.000
Sb 0.000 3.080 0.004
Sb 2.188 0.000 2.183
Te 2.188 3.080 2.192

***

two | 12
Lattice="4.357 0.000 0.000 -2.179 3.773 0.000 0.000 0.000 21.484" Properties=species:S:1:pos:R:3 comment="Sb3Te (SCAN, PBEsol geometry)" dos_at_fermi_per_ev_atom=0.491 pbc="T T T"
Sb 0.000 0.000 0.000
Sb 0.000 0.000 5.434
Sb 0.000 0.000 16.050
Sb 0.000 2.516 8.889
Sb 0.000 2.516 14.323
Sb 0.000 2.516 19.756
Sb 2.179 1.258 1.728
Sb 2.179 1.258 7.161
Sb 2.179 1.258 12.595
Te 0.000 0.000 10.742
Te 0.000 2.516 3.581
Te 2.179 1.258 17.903

***

Structures ranked by computed energy, the most stable listed first: two, one.